First-principles (GGA-PBE) data for an optimized crystal structure of Pm8Pr3Y4, as listed in the Alexandria database.

a b c (Å): 14.0382 12.2795 6.9535
angles (deg): 90.00 119.09 90.00
Closest atoms and distances in Å follow each position.
Space group C2/m (No. 12)
Inequivalent atoms, fractional coordinates:
Pm: 0.0000 0.2043 0.0000 x4  4 Pm 3.53-3.54, 3 Y 3.55-3.63, 2 Pr 3.59
Pm: 0.0000 0.2517 0.5000 x4  1 Y 3.05, 1 Pr 3.09
Pm: 0.2033 0.0000 0.1938 x4  4 Pm 3.51-3.55, 3 Y 3.54-3.64, 2 Pr 3.61
Pm: 0.2478 0.5000 0.2613 x4  1 Y 3.04, 1 Pr 3.09
Pr: 0.0000 0.0000 0.5000 x2  4 Pm 3.09
Pr: 0.2500 0.2500 0.5000 x4  2 Y 3.48, 8 Pm 3.48-3.61
Y: 0.0000 0.5000 0.0000 x2  2 Pm 3.04
Y: 0.0000 0.5000 0.5000 x2  2 Pm 3.05
Y: 0.2500 0.2500 0.0000 x4  2 Pr 3.48, 8 Pm 3.54-3.58

Properties
The calculation puts the formation energy at 0.326 eV/atom. The total energy comes out at -146.6 eV for the cell shown. The value obtained for the total magnetization is 0.00 μB per cell.